Nb2ZnCBr | GGA-PBE | relaxed

It has space group P4/mmm (No. 123), with a = 4.7532 Å, b = 4.7532 Å, c = 4.6441 Å, α = 90.00°, β = 90.00° and γ = 90.00°. Symmetry generates all atoms from Nb at (0.0000, 0.5000, 0.0000), Zn at (0.0000, 0.0000, 0.5000), C at (0.5000, 0.5000, 0.5000) and Br at (0.0000, 0.0000, 0.0000).

The uncorrected formation energy is 2459 meV/atom. For the density of states at the Fermi level, the calculation gives 1.682 states/eV per atom. As for the total energy: -4.003 eV/atom.